--- 1 ---
Computed, not measured: a geometry-optimized TbFe5P3 structure at the PBE level of DFT.

The structure in POSCAR format:
```
TbFe5P3
1.0
11.8318 0.0000 0.0000
0.0000 3.6579 0.0000
0.0000 0.0000 10.3186
Tb Fe P
4 20 12
direct
0.2042 0.2500 0.0805
0.2958 0.7500 0.5805
0.7042 0.2500 0.4195
0.7958 0.7500 0.9195
0.0093 0.7500 0.0952
0.0107 0.7500 0.7078
0.0674 0.7500 0.4633
0.1763 0.2500 0.7804
0.2019 0.2500 0.3750
0.2981 0.7500 0.8750
0.3237 0.7500 0.2804
0.4326 0.2500 0.9633
0.4893 0.2500 0.2078
0.4907 0.2500 0.5952
0.5093 0.7500 0.4048
0.5107 0.7500 0.7922
0.5674 0.7500 0.0367
0.6763 0.2500 0.7196
0.7019 0.2500 0.1250
0.7981 0.7500 0.6250
0.8237 0.7500 0.2196
0.9326 0.2500 0.5367
0.9893 0.2500 0.2922
0.9907 0.2500 0.9048
0.1028 0.7500 0.8987
0.1124 0.2500 0.5770
0.1278 0.7500 0.2665
0.3722 0.2500 0.7665
0.3876 0.7500 0.0770
0.3972 0.2500 0.3987
0.6028 0.7500 0.6013
0.6124 0.2500 0.9230
0.6278 0.7500 0.2335
0.8722 0.2500 0.7335
0.8876 0.7500 0.4230
0.8972 0.2500 0.1013
```

ρ in g cm⁻³: 7.90
SG: Pnma, No. 62

***

--- 2 ---
Computed, not measured: a geometry-optimized TbFe5P3 structure at the PBE level of DFT.

The structure in POSCAR format:
```
TbFe5P3
1.0
1.8547 -5.9410 0.0000
1.8547 5.9410 0.0000
0.0000 0.0000 10.7254
Tb Fe P
2 10 6
direct
0.1752 0.8248 0.7500
0.8248 0.1752 0.2500
0.0000 0.0000 0.0000
0.0000 0.0000 0.5000
0.1903 0.8097 0.0631
0.1903 0.8097 0.4369
0.4596 0.5404 0.6393
0.4596 0.5404 0.8607
0.5404 0.4596 0.1393
0.5404 0.4596 0.3607
0.8097 0.1903 0.5631
0.8097 0.1903 0.9369
0.1067 0.8933 0.2500
0.3695 0.6305 0.0450
0.3695 0.6305 0.4550
0.6305 0.3695 0.5450
0.6305 0.3695 0.9550
0.8933 0.1067 0.7500
```

ρ in g cm⁻³: 7.46
SG: Cmcm, No. 63

***

Unit: meV per atom. Relative energies: 1 0; 2 72.

***

--- 1 ---
Computed, not measured: a geometry-optimized TiFeP2 structure at the PBE level of DFT.

The structure in POSCAR format:
```
TiFeP2
1.0
4.2569 0.0000 0.0000
0.0000 4.2569 0.0000
0.0000 0.0000 13.8305
Ti Fe P
4 4 8
direct
0.0000 0.0000 0.0000
0.0000 0.5000 0.2500
0.5000 0.0000 0.7500
0.5000 0.5000 0.5000
0.0000 0.0000 0.5000
0.0000 0.5000 0.7500
0.5000 0.0000 0.2500
0.5000 0.5000 0.0000
0.1696 0.2500 0.6250
0.2500 0.6696 0.8750
0.2500 0.8304 0.3750
0.3304 0.2500 0.1250
0.6696 0.7500 0.1250
0.7500 0.1696 0.3750
0.7500 0.3304 0.8750
0.8304 0.7500 0.6250
```

ρ in g cm⁻³: 4.39
SG: I-42d, No. 122

***

--- 2 ---
Computed, not measured: a geometry-optimized TiFeP2 structure at the PBE level of DFT.

The structure in POSCAR format:
```
TiFeP2
1.0
5.9089 0.0000 0.0000
0.0000 5.9089 0.0000
0.0000 0.0000 5.9089
Ti Fe P
4 4 8
direct
0.0000 0.0000 0.0000
0.0000 0.5000 0.5000
0.5000 0.0000 0.5000
0.5000 0.5000 0.0000
0.0000 0.0000 0.5000
0.0000 0.5000 0.0000
0.5000 0.0000 0.0000
0.5000 0.5000 0.5000
0.2500 0.2500 0.2500
0.2500 0.2500 0.7500
0.2500 0.7500 0.2500
0.2500 0.7500 0.7500
0.7500 0.2500 0.2500
0.7500 0.2500 0.7500
0.7500 0.7500 0.2500
0.7500 0.7500 0.7500
```

ρ in g cm⁻³: 5.33
SG: Fm-3m, No. 225

***

--- 3 ---
Computed, not measured: a geometry-optimized TiFeP2 structure at the PBE level of DFT.

The structure in POSCAR format:
```
TiFeP2
1.0
3.5376 0.0000 0.0000
-1.7688 3.0636 0.0000
0.0000 0.0000 14.7500
Ti Fe P
3 3 6
direct
0.0000 0.0000 0.0000
0.3333 0.6667 0.6667
0.6667 0.3333 0.3333
0.0000 0.0000 0.5000
0.3333 0.6667 0.1667
0.6667 0.3333 0.8333
0.0000 0.0000 0.2345
0.0000 0.0000 0.7655
0.3333 0.6667 0.4322
0.3333 0.6667 0.9012
0.6667 0.3333 0.0988
0.6667 0.3333 0.5678
```

ρ in g cm⁻³: 5.16
SG: R-3m, No. 166

***

Unit: meV per atom. Relative energies: 1 383; 2 230; 3 0.